The following is a PBE-GGA calculation of a geometry-optimized Ca3GaSi2Pd9 structure, from Alexandria via LeMat-Bulk.

a b c (Å): 6.333 6.333 8.838
angles (deg): 90.00 90.00 120.00
Atoms (fractional coordinates):
1 Ca 0.333 0.667 0.686
2 Ca 0.667 0.333 0.314
3 Ca 0.000 0.000 0.000
4 Pd 0.708 0.854 0.280
5 Pd 0.000 0.500 0.000
6 Pd 0.146 0.292 0.280
7 Pd 0.500 0.000 0.000
8 Pd 0.500 0.500 0.000
9 Pd 0.292 0.146 0.720
10 Pd 0.854 0.708 0.720
11 Pd 0.854 0.146 0.720
12 Pd 0.146 0.854 0.280
13 Si 0.667 0.333 0.829
14 Si 0.333 0.667 0.171
15 Ga 0.000 0.000 0.500

Properties
Its energy relative to the elements, uncorrected is -57 kJ per mole of atoms. The total energy comes out at -5.03 eV per atom.

***

The following is a PBE-GGA calculation of a geometry-optimized UTc2P2Pt structure, from Alexandria via LeMat-Bulk.

a b c (Å): 4.000 5.863 8.092
angles (deg): 90.00 90.00 90.00
Site moments in Bohr magnetons follow the coordinates.
Atoms (fractional coordinates):
1 P 0.000 0.268 0.897  0.00
2 P 0.000 0.768 0.103  0.00
3 P 0.500 0.251 0.307  -0.02
4 P 0.500 0.751 0.693  -0.02
5 U 0.000 0.469 0.561  1.96
6 U 0.000 0.969 0.439  1.96
7 Pt 0.500 0.158 0.707  -0.05
8 Pt 0.500 0.658 0.293  -0.05
9 Tc 0.000 0.873 0.830  -0.04
10 Tc 0.500 0.527 0.939  -0.05
11 Tc 0.000 0.373 0.170  -0.04
12 Tc 0.500 0.027 0.061  -0.05

Properties
For the formation energy, the calculation gives -0.5352 eV per atom. The total energy comes out at -8.68 eV per atom.